The following is a DFT calculation (GGA-PBE) of a geometry-optimized Cd2AgHS structure.

POSCAR file:
```
Cd2AgHS
1.0
5.373 0.000 0.000
0.000 5.373 0.000
0.000 0.000 4.782
Cd Ag H S
2 1 1 1
Direct
0.000 0.500 0.000 Cd
0.500 0.000 0.000 Cd
0.000 0.000 0.500 Ag
0.500 0.500 0.500 H
0.000 0.000 0.000 S
```

Raw total energy in eV per atom: -1.83